Compound: CdTc3B
Source: the Alexandria database
Functional: PBE-GGA
Structure: relaxed

Output
Mass density ... 5.6 Mg/m³
Formation energy from the elements ... 3.3391 eV/atom

Cell lengths 4.9898, 4.9898, 4.9898 Å; angles 90.00, 90.00, 90.00 degrees
With the nearest neighbours (Å) after each atom.
Space group Pm-3m (No. 221)
One atom of each set of equivalent atoms:
Cd1 0.0000 0.0000 0.0000 x1  6 Tc 2.49
Tc1 0.0000 0.0000 0.5000 x3  2 Cd 2.49
B1 0.5000 0.5000 0.5000 x1  12 Tc 3.53


Compound: AcSmAlIn
Source: the Alexandria database
Functional: PBE-GGA
Structure: relaxed

Output
Mass density ... 7.2 Mg/m³
Formation energy from the elements ... -0.3315 eV/atom

Cell lengths 7.8142, 7.8142, 7.8142 Å; angles 90.00, 90.00, 90.00 degrees
With the nearest neighbours (Å) after each atom.
Space group F-43m (No. 216)
One atom of each set of equivalent atoms:
Ac1 0.0000 0.0000 0.0000 x4  4 In 3.38, 4 Al 3.38
Sm1 0.0000 0.0000 0.5000 x4  4 In 3.38, 4 Al 3.38
Al1 0.2500 0.2500 0.7500 x4  4 Ac 3.38, 4 Sm 3.38
In1 0.2500 0.2500 0.2500 x4  4 Ac 3.38, 4 Sm 3.38


Compound: Rb2CdIO4
Source: the Alexandria database
Functional: PBE-GGA
Structure: relaxed

Output
Mass density ... 4.8 Mg/m³
Formation energy from raw total energies ... -0.88 eV per atom

Cell lengths 6.5869, 6.5869, 7.5007 Å; angles 90.00, 90.00, 90.00 degrees
With the nearest neighbours (Å) after each atom.
Space group I-4 (No. 82)
One atom of each set of equivalent atoms:
Rb1 0.0000 0.0000 0.0000 x2  4 O 2.84
Rb2 0.0000 0.5000 0.2500 x2  8 O 2.95-3.27
Cd1 0.0000 0.5000 0.7500 x2  4 O 2.25
I1 0.0000 0.0000 0.5000 x2  4 O 2.08
O1 0.1416 0.7276 0.5647 x8  1 I 2.08, 1 Cd 2.25


Q: Which of these has the lowest mass density?
A: Rb2CdIO4


Q: Which formula does entry 2 have?
A: AcSmAlIn


Q: The lowest mass density belongs to which entry?
A: Rb2CdIO4


Q: Among the records above, which one has the highest mass density?
A: AcSmAlIn